Record 1
PBE SbP2S, optimized geometry; relative energy among the computed polymorphs = 169.2 meV/atom; total magnetic moment = 0.00 μB/f.u.; space-group type = Fm-3m (225); raw formation energy = 263.0 kJ/mol of formula units
1.0
0.504 -2.467 3.923
0.417 2.191 4.094
-3.474 -0.179 3.104
Sb S P
1 1 2
Direct
0.500 0.500 0.500 Sb
0.000 0.000 0.000 S
0.250 0.250 0.250 P
0.750 0.750 0.750 P

***

Record 2
PBE ScSbPS2, optimized geometry; relative energy among the computed polymorphs = 0.0 meV/atom; total magnetic moment = 0.00 μB/f.u.; space-group type = P4/mmm (123); raw formation energy = -41.1 kJ/mol of formula units
1.0
-3.622 1.382 2.883
2.253 -1.987 3.783
2.391 4.407 0.891
Sc Sb S P
1 1 2 1
Direct
0.000 0.000 0.000 Sc
0.500 0.500 0.500 Sb
0.000 0.500 0.000 S
0.500 0.000 0.000 S
0.000 0.000 0.500 P

***

Record 3
PBE ScSbP2S, optimized geometry; relative energy among the computed polymorphs = 0.0 meV/atom; total magnetic moment = 0.00 μB/f.u.; space-group type = P4/mmm (123); raw formation energy = 104.6 kJ/mol of formula units
1.0
-4.800 -0.522 1.278
1.349 -0.788 4.743
-0.281 4.696 0.860
Sc Sb S P
1 1 1 2
Direct
0.000 0.000 0.000 Sc
0.500 0.500 0.500 Sb
0.000 0.000 0.500 S
0.000 0.500 0.000 P
0.500 0.000 0.000 P

***

Record 4
PBE ScSbP2S, optimized geometry; relative energy among the computed polymorphs = 255.5 meV/atom; total magnetic moment = 0.00 μB/f.u.; space-group type = P4/mmm (123); raw formation energy = 227.9 kJ/mol of formula units
1.0
4.969 0.000 0.000
0.000 4.969 0.000
0.000 0.000 4.935
Sc Sb S P
1 1 1 2
Direct
0.500 0.500 0.500 Sc
0.000 0.000 0.000 Sb
0.000 0.000 0.500 S
0.000 0.500 0.000 P
0.500 0.000 0.000 P

***

Record 5
PBE Sc6SbP3S2, optimized geometry; total magnetic moment = 0.00 μB/f.u.; space-group type = C2/m (12); raw formation energy = -1775.1 kJ/mol of formula units
1.0
-0.409 0.553 -3.730
6.977 -2.957 -1.204
-4.806 -6.880 1.436
Sc Sb P S
6 1 3 2
Direct
0.324 0.917 0.648 Sc
0.666 0.591 0.332 Sc
0.676 0.083 0.352 Sc
0.000 0.273 0.001 Sc
0.000 0.727 0.999 Sc
0.334 0.409 0.668 Sc
0.500 0.000 0.000 Sb
0.500 0.500 0.000 P
0.835 0.168 0.671 P
0.165 0.832 0.329 P
0.831 0.662 0.661 S
0.169 0.338 0.339 S

***

Record 6
PBE ScSbPS2, optimized geometry; relative energy among the computed polymorphs = 283.6 meV/atom; total magnetic moment = 0.00 μB/f.u.; space-group type = P4/mmm (123); raw formation energy = 95.7 kJ/mol of formula units
1.0
-1.126 -4.772 0.056
4.665 -1.088 1.047
-1.037 0.303 4.931
Sc Sb S P
1 1 2 1
Direct
0.500 0.500 0.500 Sc
0.000 0.000 0.000 Sb
0.000 0.500 0.000 S
0.500 0.000 0.000 S
0.000 0.000 0.500 P

***

Record 7
PBE SbP2SeS, optimized geometry; relative energy among the computed polymorphs = 0.0 meV/atom; total magnetic moment = 0.00 μB/f.u.; space-group type = P4/mmm (123); raw formation energy = 410.4 kJ/mol of formula units
1.0
-0.437 4.759 -0.665
-4.604 -0.606 -1.314
-1.344 0.503 4.479
Sb S Se P
1 1 1 2
Direct
0.500 0.500 0.500 Sb
0.000 0.000 0.500 S
0.000 0.000 0.000 Se
0.000 0.500 0.000 P
0.500 0.000 0.000 P

***

Record 8
PBE SiSbP2S, optimized geometry; relative energy among the computed polymorphs = 0.0 meV/atom; total magnetic moment = 0.00 μB/f.u.; space-group type = P4/mmm (123); raw formation energy = 226.4 kJ/mol of formula units
1.0
4.589 0.000 0.000
0.000 4.589 0.000
0.000 0.000 4.489
Sb S Si P
1 1 1 2
Direct
0.500 0.500 0.500 Sb
0.000 0.000 0.500 S
0.000 0.000 0.000 Si
0.000 0.500 0.000 P
0.500 0.000 0.000 P

***

Record 9
PBE SiSbPS2, optimized geometry; relative energy among the computed polymorphs = 0.0 meV/atom; total magnetic moment = 0.00 μB/f.u.; space-group type = P4/mmm (123); raw formation energy = 145.9 kJ/mol of formula units
1.0
-3.982 -2.169 0.055
2.154 -3.939 0.636
-0.261 0.595 4.570
Sb S Si P
1 2 1 1
Direct
0.500 0.500 0.500 Sb
0.000 0.500 0.000 S
0.500 0.000 0.000 S
0.000 0.000 0.000 Si
0.000 0.000 0.500 P

***

Record 10
PBE Sm4Sb2PS, optimized geometry; total magnetic moment = 0.00 μB/f.u.; space-group type = P2/m (10); raw formation energy = -1137.5 kJ/mol of formula units
1.0
4.253 0.000 0.000
0.000 7.434 -0.176
0.000 2.587 6.891
Sm Sb P S
4 2 1 1
Direct
0.000 0.729 0.754 Sm
0.000 0.271 0.246 Sm
0.500 0.727 0.261 Sm
0.500 0.273 0.739 Sm
0.000 0.000 0.000 Sb
0.500 0.000 0.500 Sb
0.000 0.500 0.500 P
0.500 0.500 0.000 S

***

Record 11
PBE SnSbPS2, optimized geometry; relative energy among the computed polymorphs = 0.0 meV/atom; total magnetic moment = 0.00 μB/f.u.; space-group type = P4/mmm (123); raw formation energy = 221.6 kJ/mol of formula units
1.0
-0.248 3.368 -3.715
-4.548 -1.717 -1.253
-2.135 3.340 3.171
Sb S Sn P
1 2 1 1
Direct
0.000 0.000 0.000 Sb
0.000 0.500 0.000 S
0.500 0.000 0.000 S
0.500 0.500 0.500 Sn
0.000 0.000 0.500 P

***

Record 12
PBE SrSbP2S, optimized geometry; relative energy among the computed polymorphs = 1049.5 meV/atom; total magnetic moment = 1.09 μB/f.u.; space-group type = P4/mmm (123); raw formation energy = 502.9 kJ/mol of formula units
1.0
-3.905 -3.278 -2.003
3.557 -4.164 -0.122
-1.413 -1.353 4.969
Sb S P Sr
1 1 2 1
Direct
0.500 0.500 0.500 Sb
0.000 0.000 0.500 S
0.000 0.500 0.000 P
0.500 0.000 0.000 P
0.000 0.000 0.000 Sr

***

Record 13
PBE SrSbPS2, optimized geometry; relative energy among the computed polymorphs = 0.0 meV/atom; total magnetic moment = 0.00 μB/f.u.; space-group type = P4/mmm (123); raw formation energy = -165.0 kJ/mol of formula units
1.0
5.096 0.000 0.000
0.000 5.096 0.000
0.000 0.000 5.077
Sb S P Sr
1 2 1 1
Direct
0.000 0.000 0.000 Sb
0.000 0.500 0.000 S
0.500 0.000 0.000 S
0.000 0.000 0.500 P
0.500 0.500 0.500 Sr

***

Record 14
PBE SrSbP2S, optimized geometry; relative energy among the computed polymorphs = 0.0 meV/atom; total magnetic moment = 0.00 μB/f.u.; space-group type = P4/mmm (123); raw formation energy = -3.4 kJ/mol of formula units
1.0
-0.690 2.983 4.042
-0.254 -4.095 2.979
5.139 0.208 0.725
Sb S P Sr
1 1 2 1
Direct
0.000 0.000 0.000 Sb
0.000 0.000 0.500 S
0.000 0.500 0.000 P
0.500 0.000 0.000 P
0.500 0.500 0.500 Sr

***

Record 15
PBE SrSbP2S8, optimized geometry; total magnetic moment = 0.00 μB/f.u.; space-group type = P-3 (147); raw formation energy = -528.5 kJ/mol of formula units
1.0
-5.207 1.871 -2.415
4.465 -1.930 -3.576
-3.248 -8.412 0.484
Sr Sb P S
1 1 2 8
Direct
0.000 0.000 0.000 Sr
0.000 0.000 0.500 Sb
0.667 0.333 0.242 P
0.333 0.667 0.758 P
0.333 0.667 0.980 S
0.337 0.335 0.304 S
0.665 0.002 0.304 S
0.667 0.333 0.020 S
0.335 0.998 0.696 S
0.663 0.665 0.696 S
0.002 0.337 0.696 S
0.998 0.663 0.304 S

***

Record 16
PBE SrSbPS2, optimized geometry; relative energy among the computed polymorphs = 1050.3 meV/atom; total magnetic moment = 1.82 μB/f.u.; space-group type = P4/mmm (123); raw formation energy = 341.7 kJ/mol of formula units
1.0
-3.770 2.195 -3.267
0.180 -4.424 -3.180
-4.089 -2.399 3.107
Sb S P Sr
1 2 1 1
Direct
0.500 0.500 0.500 Sb
0.000 0.500 0.000 S
0.500 0.000 0.000 S
0.000 0.000 0.500 P
0.000 0.000 0.000 Sr

***

Record 17
PBE TaSbPS2, optimized geometry; relative energy among the computed polymorphs = 1188.5 meV/atom; total magnetic moment = 1.84 μB/f.u.; space-group type = P4/mmm (123); raw formation energy = 589.7 kJ/mol of formula units
1.0
4.835 0.000 0.000
0.000 4.835 0.000
0.000 0.000 4.972
Sb S P Ta
1 2 1 1
Direct
0.000 0.000 0.000 Sb
0.000 0.500 0.000 S
0.500 0.000 0.000 S
0.000 0.000 0.500 P
0.500 0.500 0.500 Ta

***

Record 18
PBE TaSbPS2, optimized geometry; relative energy among the computed polymorphs = 0.0 meV/atom; total magnetic moment = 0.00 μB/f.u.; space-group type = P4/mmm (123); raw formation energy = 16.3 kJ/mol of formula units
1.0
-0.768 -4.099 -2.147
2.535 1.448 -3.672
4.226 -1.923 2.160
Sb S P Ta
1 2 1 1
Direct
0.500 0.500 0.500 Sb
0.000 0.500 0.000 S
0.500 0.000 0.000 S
0.000 0.000 0.500 P
0.000 0.000 0.000 Ta

***

Record 19
PBE Tb6SbP2S3, optimized geometry; total magnetic moment = 0.00 μB/f.u.; space-group type = C2/m (12); raw formation energy = -2016.2 kJ/mol of formula units
1.0
4.044 0.000 0.000
0.000 8.113 0.327
-2.022 -2.302 8.509
Tb Sb P S
6 1 2 3
Direct
0.326 0.902 0.652 Tb
0.670 0.579 0.340 Tb
0.674 0.098 0.348 Tb
0.004 0.270 0.008 Tb
0.996 0.730 0.992 Tb
0.330 0.421 0.660 Tb
0.500 0.000 0.000 Sb
0.832 0.664 0.665 P
0.168 0.336 0.335 P
0.500 0.500 0.000 S
0.836 0.167 0.671 S
0.164 0.833 0.329 S

***

Record 20
PBE Tb4Sb2PS, optimized geometry; total magnetic moment = 0.00 μB/f.u.; space-group type = P2/m (10); raw formation energy = -1129.6 kJ/mol of formula units
1.0
-1.904 -2.331 2.894
4.557 -5.530 -1.456
5.815 0.533 4.255
Tb Sb P S
4 2 1 1
Direct
0.000 0.728 0.754 Tb
0.000 0.272 0.246 Tb
0.500 0.726 0.261 Tb
0.500 0.274 0.739 Tb
0.000 0.000 0.000 Sb
0.500 0.000 0.500 Sb
0.000 0.500 0.500 P
0.500 0.500 0.000 S

***

Record 21
PBE TcSbP2S, optimized geometry; relative energy among the computed polymorphs = 1053.0 meV/atom; total magnetic moment = 3.24 μB/f.u.; space-group type = P4/mmm (123); raw formation energy = 723.8 kJ/mol of formula units
1.0
-3.985 -0.994 2.903
3.067 -1.174 3.808
-0.073 4.665 1.497
Sb S Tc P
1 1 1 2
Direct
0.000 0.000 0.000 Sb
0.000 0.000 0.500 S
0.500 0.500 0.500 Tc
0.000 0.500 0.000 P
0.500 0.000 0.000 P

***

Record 22
PBE TcSbPS2, optimized geometry; relative energy among the computed polymorphs = 878.7 meV/atom; total magnetic moment = 4.02 μB/f.u.; space-group type = P4/mmm (123); raw formation energy = 605.9 kJ/mol of formula units
1.0
-2.772 2.336 3.342
1.951 -2.790 3.568
3.702 3.440 0.666
Sb S Tc P
1 2 1 1
Direct
0.000 0.000 0.000 Sb
0.000 0.500 0.000 S
0.500 0.000 0.000 S
0.500 0.500 0.500 Tc
0.000 0.000 0.500 P

***

Record 23
PBE TcSbPS2, optimized geometry; relative energy among the computed polymorphs = 0.0 meV/atom; total magnetic moment = 0.00 μB/f.u.; space-group type = P4/mmm (123); raw formation energy = 182.0 kJ/mol of formula units
1.0
4.486 0.000 0.000
0.000 4.486 0.000
0.000 0.000 5.128
Sb S Tc P
1 2 1 1
Direct
0.500 0.500 0.500 Sb
0.000 0.500 0.000 S
0.500 0.000 0.000 S
0.000 0.000 0.000 Tc
0.000 0.000 0.500 P

***

Record 24
PBE TcSbP2S, optimized geometry; relative energy among the computed polymorphs = 0.0 meV/atom; total magnetic moment = 0.00 μB/f.u.; space-group type = P4/mmm (123); raw formation energy = 215.7 kJ/mol of formula units
1.0
4.494 0.000 0.000
0.000 4.494 0.000
0.000 0.000 5.156
Sb S Tc P
1 1 1 2
Direct
0.500 0.500 0.500 Sb
0.000 0.000 0.500 S
0.000 0.000 0.000 Tc
0.000 0.500 0.000 P
0.500 0.000 0.000 P

***

Record 25
PBE Sb2TePS, optimized geometry; relative energy among the computed polymorphs = 0.0 meV/atom; total magnetic moment = 0.00 μB/f.u.; space-group type = P4/mmm (123); raw formation energy = 384.4 kJ/mol of formula units
1.0
5.215 0.000 0.000
0.000 5.215 0.000
0.000 0.000 5.169
Sb S Te P
2 1 1 1
Direct
0.000 0.500 0.000 Sb
0.500 0.000 0.000 Sb
0.500 0.500 0.500 S
0.000 0.000 0.500 Te
0.000 0.000 0.000 P

***

Record 26
PBE SbTePS2, optimized geometry; relative energy among the computed polymorphs = 0.0 meV/atom; total magnetic moment = 0.00 μB/f.u.; space-group type = P4/mmm (123); raw formation energy = 360.8 kJ/mol of formula units
1.0
4.886 0.000 0.000
0.000 4.886 0.000
0.000 0.000 5.303
Sb S Te P
1 2 1 1
Direct
0.000 0.000 0.000 Sb
0.000 0.500 0.000 S
0.500 0.000 0.000 S
0.500 0.500 0.500 Te
0.000 0.000 0.500 P

***

Record 27
PBE Th4Sb2PS, optimized geometry; total magnetic moment = 0.00 μB/f.u.; space-group type = P2/m (10); raw formation energy = -998.1 kJ/mol of formula units
1.0
4.265 0.000 0.000
0.000 7.528 -0.198
0.000 2.601 6.942
Th Sb P S
4 2 1 1
Direct
0.000 0.714 0.760 Th
0.000 0.286 0.240 Th
0.500 0.714 0.263 Th
0.500 0.286 0.737 Th
0.000 0.000 0.000 Sb
0.500 0.000 0.500 Sb
0.000 0.500 0.500 P
0.500 0.500 0.000 S